Here is a relaxed structure of YTePb2 from Alexandria. Energies are from PBEsol.

Computed properties:
uncorrected formation energy = -44.97 kJ/mol of atoms
E = -5.052 eV per atom
N(E_F) = 1.7 states/eV per cell

Unit cell a=6.094 b=6.094 c=5.267 alpha=90.35 beta=90.35 gamma=36.54
Positions (direct):
Y 0.000 0.000 0.000
Te 0.713 0.713 0.024
Pb 0.197 0.197 0.524
Pb 0.457 0.457 0.499

***

Here is a relaxed structure of Co2ReNi from Alexandria. Energies are from PBEsol.

Computed properties:
E = -8.768 eV per atom
N(E_F) = 4.6 states/eV per cell
energy above the lowest structure with this stoichiometry = 0.0 meV per atom

Unit cell a=4.301 b=4.301 c=4.301 alpha=130.97 beta=130.97 gamma=71.85
Positions (direct):
Co 0.250 0.750 0.500
Co 0.750 0.250 0.500
Re 0.000 0.000 0.000
Ni 0.500 0.500 0.000

***

Here is a relaxed structure of Sr2Sn2Sb from Alexandria. Energies are from PBEsol.

Computed properties:
uncorrected formation energy = -61.55 kJ/mol of atoms
E = -3.989 eV per atom
N(E_F) = 3.3 states/eV per cell

Unit cell a=8.089 b=8.089 c=4.807 alpha=90.00 beta=90.00 gamma=90.00
Positions (direct):
Sr 0.176 0.324 0.000
Sr 0.324 0.824 0.000
Sr 0.676 0.176 0.000
Sr 0.824 0.676 0.000
Sn 0.126 0.626 0.500
Sn 0.374 0.126 0.500
Sn 0.626 0.874 0.500
Sn 0.874 0.374 0.500
Sb 0.000 0.000 0.500
Sb 0.500 0.500 0.500

***

Here is a relaxed structure of Ac3Lu from Alexandria. Energies are from PBEsol.

Computed properties:
E = -4.535 eV per atom
N(E_F) = 11.1 states/eV per cell

Unit cell a=7.647 b=7.647 c=6.086 alpha=90.00 beta=90.00 gamma=120.00
Positions (direct):
Ac 0.170 0.340 0.250
Ac 0.170 0.830 0.250
Ac 0.340 0.170 0.750
Ac 0.660 0.830 0.250
Ac 0.830 0.170 0.750
Ac 0.830 0.660 0.750
Lu 0.333 0.667 0.750
Lu 0.667 0.333 0.250

***

Here is a relaxed structure of InAu2Se from Alexandria. Energies are from PBEsol.

Computed properties:
uncorrected formation energy = 7.59 kJ/mol of atoms
E = -3.592 eV per atom
N(E_F) = 1.4 states/eV per cell
energy above the lowest structure with this stoichiometry = 122.2 meV per atom

Unit cell a=5.171 b=5.171 c=5.171 alpha=131.28 beta=131.28 gamma=71.37
Positions (direct):
In 0.000 0.000 0.000
Au 0.250 0.750 0.500
Au 0.750 0.250 0.500
Se 0.500 0.500 0.000

***

Here is a relaxed structure of ErTi2Ga4 from Alexandria. Energies are from PBEsol.

Computed properties:
E = -5.579 eV per atom
N(E_F) = 5.5 states/eV per cell

Unit cell a=5.409 b=5.409 c=5.409 alpha=104.26 beta=104.26 gamma=120.49
Positions (direct):
Er 0.000 0.000 0.000
Ti 0.250 0.750 0.500
Ti 0.750 0.250 0.500
Ga 0.303 0.303 0.606
Ga 0.303 0.697 0.000
Ga 0.697 0.303 0.000
Ga 0.697 0.697 0.394

***

Here is a relaxed structure of CrNi3Br from Alexandria. Energies are from PBEsol.

Computed properties:
uncorrected formation energy = 126.46 kJ/mol of atoms
E = -4.806 eV per atom
N(E_F) = 6.2 states/eV per cell

Unit cell a=4.277 b=4.277 c=4.277 alpha=90.00 beta=90.00 gamma=90.00
Positions (direct):
Cr 0.000 0.000 0.000
Ni 0.000 0.000 0.500
Ni 0.000 0.500 0.000
Ni 0.500 0.000 0.000
Br 0.500 0.500 0.500

***

Here is a relaxed structure of ZnMoPO2 from Alexandria. Energies are from PBEsol.

Computed properties:
uncorrected formation energy = -95.50 kJ/mol of atoms
E = -6.918 eV per atom
N(E_F) = 2.2 states/eV per cell
energy above the lowest structure with this stoichiometry = 0.0 meV per atom

Unit cell a=3.744 b=3.744 c=5.086 alpha=90.00 beta=90.00 gamma=90.00
Positions (direct):
Zn 0.000 0.000 0.000
Mo 0.500 0.500 0.500
P 0.500 0.500 0.000
O 0.000 0.500 0.500
O 0.500 0.000 0.500

***

Here is a relaxed structure of LaAgRu2 from Alexandria. Energies are from PBEsol.

Computed properties:
E = -6.894 eV per atom
N(E_F) = 4.9 states/eV per cell

Unit cell a=4.181 b=4.181 c=4.035 alpha=90.00 beta=90.00 gamma=90.00
Positions (direct):
La 0.000 0.000 0.000
Ag 0.500 0.500 0.000
Ru 0.000 0.500 0.500
Ru 0.500 0.000 0.500

***

Here is a relaxed structure of BeFe2Ag from Alexandria. Energies are from PBEsol.

Computed properties:
E = -6.176 eV per atom
N(E_F) = 2.4 states/eV per cell

Unit cell a=2.625 b=2.625 c=6.414 alpha=90.00 beta=90.00 gamma=90.00
Positions (direct):
Be 0.000 0.000 0.000
Fe 0.000 0.000 0.420
Fe 0.500 0.500 0.203
Ag 0.500 0.500 0.739

***

Here is a relaxed structure of CaSc2Ta from Alexandria. Energies are from PBEsol.

Computed properties:
E = -6.634 eV per atom
N(E_F) = 6.2 states/eV per cell
energy above the lowest structure with this stoichiometry = 0.0 meV per atom

Unit cell a=11.111 b=11.111 c=11.111 alpha=16.35 beta=16.35 gamma=16.35
Positions (direct):
Ca 0.000 0.000 0.000
Sc 0.095 0.095 0.095
Sc 0.905 0.905 0.905
Ta 0.500 0.500 0.500

***

Here is a relaxed structure of ZrBeCl2 from Alexandria. Energies are from PBEsol.

Computed properties:
uncorrected formation energy = -6.18 kJ/mol of atoms
E = -4.340 eV per atom
N(E_F) = 3.8 states/eV per cell
energy above the lowest structure with this stoichiometry = 705.5 meV per atom

Unit cell a=6.170 b=6.170 c=6.170 alpha=127.56 beta=127.56 gamma=77.34
Positions (direct):
Zr 0.000 0.000 0.000
Zr 0.750 0.250 0.500
Be 0.250 0.750 0.500
Be 0.500 0.500 0.000
Cl 0.208 0.625 0.083
Cl 0.375 0.458 0.583
Cl 0.542 0.125 0.917
Cl 0.875 0.792 0.417

***

Here is a relaxed structure of Li2BeAl from Alexandria. Energies are from PBEsol.

Computed properties:
E = -2.868 eV per atom
N(E_F) = 1.3 states/eV per cell
energy above the lowest structure with this stoichiometry = 161.0 meV per atom

Unit cell a=2.639 b=4.107 c=5.047 alpha=90.00 beta=90.00 gamma=90.00
Positions (direct):
Li 0.000 0.000 0.239
Li 0.000 0.000 0.761
Be 0.500 0.500 0.000
Al 0.500 0.500 0.500

***

Here is a relaxed structure of BaFeP2 from Alexandria. Energies are from PBEsol.

Computed properties:
E = -5.850 eV per atom
N(E_F) = 1.9 states/eV per cell
energy above the lowest structure with this stoichiometry = 452.1 meV per atom

Unit cell a=3.216 b=3.216 c=6.896 alpha=90.00 beta=90.00 gamma=90.00
Positions (direct):
Ba 0.000 0.000 0.000
Fe 0.000 0.000 0.500
P 0.500 0.500 0.338
P 0.500 0.500 0.662

***

Here is a relaxed structure of MnSi2Pb from Alexandria. Energies are from PBEsol.

Computed properties:
uncorrected formation energy = 57.14 kJ/mol of atoms
E = -5.721 eV per atom
N(E_F) = 2.0 states/eV per cell

Unit cell a=5.542 b=5.542 c=5.542 alpha=139.25 beta=139.25 gamma=58.99
Positions (direct):
Mn 0.000 0.000 0.000
Si 0.250 0.750 0.500
Si 0.750 0.250 0.500
Pb 0.500 0.500 0.000

***

Here is a relaxed structure of Sc2AgPb from Alexandria. Energies are from PBEsol.

Computed properties:
E = -5.499 eV per atom
N(E_F) = 3.5 states/eV per cell

Unit cell a=4.631 b=4.631 c=3.933 alpha=90.00 beta=90.00 gamma=90.00
Positions (direct):
Sc 0.000 0.500 0.000
Sc 0.500 0.000 0.000
Ag 0.000 0.000 0.500
Pb 0.500 0.500 0.500

***

Here is a relaxed structure of LuMn2 from Alexandria. Energies are from PBEsol.

Computed properties:
E = -8.122 eV per atom
N(E_F) = 12.9 states/eV per cell

Unit cell a=4.943 b=4.943 c=8.096 alpha=90.00 beta=90.00 gamma=120.00
Positions (direct):
Lu 0.333 0.667 0.063
Lu 0.333 0.667 0.437
Lu 0.667 0.333 0.563
Lu 0.667 0.333 0.937
Mn 0.000 0.000 0.000
Mn 0.000 0.000 0.500
Mn 0.170 0.339 0.750
Mn 0.170 0.830 0.750
Mn 0.339 0.170 0.250
Mn 0.661 0.830 0.750
Mn 0.830 0.170 0.250
Mn 0.830 0.661 0.250

***

Here is a relaxed structure of LaNiW2 from Alexandria. Energies are from PBEsol.

Computed properties:
E = -9.145 eV per atom
N(E_F) = 4.3 states/eV per cell
energy above the lowest structure with this stoichiometry = 58.1 meV per atom

Unit cell a=9.935 b=9.935 c=9.935 alpha=16.51 beta=16.51 gamma=16.51
Positions (direct):
La 0.000 0.000 0.000
Ni 0.245 0.245 0.245
W 0.513 0.513 0.513
W 0.765 0.765 0.765

***

Here is a relaxed structure of MnBe2W from Alexandria. Energies are from PBEsol.

Computed properties:
E = -7.897 eV per atom
N(E_F) = 2.0 states/eV per cell
energy above the lowest structure with this stoichiometry = 0.0 meV per atom

Unit cell a=3.301 b=4.580 c=4.580 alpha=36.54 beta=90.00 gamma=90.00
Positions (direct):
Mn 0.000 0.000 0.000
Be 0.000 0.719 0.719
Be 0.500 0.590 0.590
W 0.500 0.323 0.323

***

Here is a relaxed structure of Sr5B3ClO9 from Alexandria. Energies are from PBEsol.

Computed properties:
uncorrected formation energy = -276.70 kJ/mol of atoms
E = -7.285 eV per atom
N(E_F) = 0.0 states/eV per cell

Unit cell a=8.660 b=8.660 c=7.372 alpha=90.00 beta=90.00 gamma=109.68
Positions (direct):
Sr 0.135 0.865 0.750
Sr 0.138 0.862 0.250
Sr 0.239 0.496 0.437
Sr 0.262 0.262 0.000
Sr 0.496 0.239 0.563
Sr 0.504 0.761 0.063
Sr 0.738 0.738 0.500
Sr 0.761 0.504 0.937
Sr 0.862 0.138 0.750
Sr 0.865 0.135 0.250
B 0.090 0.515 0.029
B 0.130 0.130 0.500
B 0.485 0.910 0.471
B 0.515 0.090 0.971
B 0.870 0.870 0.000
B 0.910 0.485 0.529
Cl 0.449 0.551 0.750
Cl 0.551 0.449 0.250
O 0.010 0.010 0.000
O 0.023 0.641 0.490
O 0.053 0.655 0.987
O 0.197 0.197 0.336
O 0.197 0.197 0.664
O 0.236 0.529 0.114
O 0.345 0.947 0.513
O 0.359 0.977 0.010
O 0.471 0.764 0.386
O 0.529 0.236 0.886
O 0.641 0.023 0.510
O 0.655 0.053 0.013
O 0.764 0.471 0.614
O 0.803 0.803 0.164
O 0.803 0.803 0.836
O 0.947 0.345 0.487
O 0.977 0.359 0.990
O 0.990 0.990 0.500

***

What ρ values result from the calculations? In sequence: 9.00; 13.58; 5.64; 9.22; 12.77; 7.60; 6.54; 5.23; 10.57; 8.59; 5.45; 3.97; 1.51; 5.94; 7.36; 7.97; 11.04; 13.59; 10.34; 4.15 g/cm3.